First-principles (GGA-PBEsol) data for a geometry-optimized MnInAsCl2 structure, as listed in Alexandria via LeMat-Bulk.

Summary:
Uncorrected formation energy, eV per atom: -0.2976

CIF file:
```
data_MnInAsCl2
_cell_length_a 4.5859
_cell_length_b 4.5859
_cell_length_c 5.1959
_cell_angle_alpha 90.00
_cell_angle_beta 90.00
_cell_angle_gamma 90.00
_symmetry_space_group_name_H-M 'P 4/m m m'
_symmetry_Int_Tables_number 123
_symmetry_space_group_name_Hall '-P 4 2'
loop_
_atom_site_label
_atom_site_type_symbol
_atom_site_fract_x
_atom_site_fract_y
_atom_site_fract_z
Mn1 Mn 0.0000 0.0000 0.0000
In1 In 0.5000 0.5000 0.5000
As1 As 0.0000 0.0000 0.5000
Cl1 Cl 0.0000 0.5000 0.0000
```